Record 1
VASP calculation (PBE) on a relaxed structure of K2HfCdTe.

* E_tot: -2.394 eV/atom
* E_form (uncorrected): 82 kJ/mol of atoms

The structure in POSCAR format:
```
K2HfCdTe
1.0
-6.077 1.937 1.519
-1.531 -0.658 -5.288
-1.668 -6.215 1.256
Te Cd Hf K
1 1 1 2
direct
0.000 0.500 0.000 Te
0.000 0.000 0.000 Cd
0.500 0.500 0.500 Hf
0.000 0.000 0.500 K
0.500 0.000 0.000 K
```

***

Record 2
VASP calculation (PBE) on a relaxed structure of La3Nd2Si2.

* E_tot: -5.451 eV/atom
* E_form (uncorrected): -41 kJ/mol of atoms

The structure in POSCAR format:
```
La3Nd2Si2
1.0
-2.701 0.962 -3.192
-0.346 -6.423 1.241
-3.636 3.854 7.123
La Nd Si
3 2 2
direct
0.811 0.178 0.443 La
0.189 0.822 0.557 La
0.500 0.000 0.000 La
0.340 0.494 0.186 Nd
0.660 0.506 0.814 Nd
0.978 0.156 0.800 Si
0.022 0.844 0.200 Si
```

***

Record 3
VASP calculation (PBE) on a relaxed structure of RbGaWAu2.

* ΔE_f: 905.2 meV per atom
* E_tot: -3.795 eV/atom

The structure in POSCAR format:
```
RbGaWAu2
1.0
-4.098 2.943 0.861
-1.902 -3.537 3.038
2.380 2.147 3.990
Au Ga W Rb
2 1 1 1
direct
0.000 0.000 0.500 Au
0.500 0.000 0.000 Au
0.000 0.000 0.000 Ga
0.000 0.500 0.000 W
0.500 0.500 0.500 Rb
```

***

Record 4
VASP calculation (PBE) on a relaxed structure of Tm2LuZr.

* ΔE_f: 161.8 meV per atom
* relative energy among the computed polymorphs: 0.093 eV per atom
* E_tot: -5.341 eV/atom

The structure in POSCAR format:
```
Tm2LuZr
1.0
3.972 0.000 0.000
0.000 3.972 0.000
0.000 0.000 7.065
Tm Lu Zr
2 1 1
direct
0.000 0.000 0.269 Tm
0.000 0.000 0.731 Tm
0.500 0.500 0.000 Lu
0.500 0.500 0.500 Zr
```